YCdSnBi2 | GGA-PBE | optimized geometry

Cell and atoms, written as POSCAR:
```
YCdSnBi2
1.0
5.690 0.000 0.000
0.000 5.690 0.000
0.000 0.000 5.329
Y Cd Sn Bi
1 1 1 2
Direct
0.000 0.000 0.000
0.500 0.500 0.500
0.500 0.500 0.000
0.000 0.500 0.500
0.500 0.000 0.500
```

Values from the calculation:
* N(E_F): 0.869 states/eV/atom
* symmetry: P4/mmm
* volume: 34.50 Å³/atom
* formation enthalpy at 0 K: 1.79 eV/f.u.